Record 1
TiMo6W12: relaxed, PBE.

ΔE_f	1.054	eV/atom
ρ	13.0	g cm⁻³
magnetic moment	0.00	μB/f.u.
calculated volume	19.00	A^3/atom

Cell: 10.4597 10.4597 11.4332 Å, 90.00 90.00 120.00°
Last column: nearest neighbours and their distance in Å.
Space group R-3m (No. 166, hexagonal axes)
Inequivalent atoms, fractional coordinates:
Ti1 0.0000 0.0000 0.0000 (multiplicity 3)  6 Mo 2.88
Mo1 0.0168 0.5084 0.6876 (multiplicity 18)  6 W 2.53-2.79
W1 0.0000 0.3642 0.5000 (multiplicity 18)  4 Mo 2.53-2.58, 2 W 2.72
W2 0.1003 0.2005 0.3896 (multiplicity 18)  3 W 2.72-2.73, 2 Mo 2.79

=====

Record 2
Ti2MoW5: relaxed, PBE.

ΔE_f	0.020	eV/atom
ρ	14.3	g cm⁻³
energy relative to the lowest polymorph listed for this composition	0.0000	eV/atom
magnetic moment	0.00	μB/f.u.
calculated volume	16.11	A^3/atom

Cell: 5.4225 10.6058 4.4825 Å, 90.00 90.00 90.00°
Last column: nearest neighbours and their distance in Å.
Space group Pbam (No. 55)
Inequivalent atoms, fractional coordinates:
Ti1 0.1586 0.1152 0.0000 (multiplicity 4)  2 Mo 2.69, 6 W 2.71-2.87, 1 Ti 2.99
Mo1 0.0000 0.0000 0.5000 (multiplicity 2)  4 Ti 2.69, 4 W 2.71-2.73
W1 0.0000 0.5000 0.5000 (multiplicity 2)  2 Mo 2.71, 6 W 2.75-2.82
W2 0.1534 0.7545 0.5000 (multiplicity 4)  5 W 2.71-2.82, 1 Mo 2.73, 2 Ti 2.87
W3 0.1589 0.3740 0.0000 (multiplicity 4)  4 Ti 2.71-2.74, 4 W 2.75-2.77

=====

Record 3
TiMo4W: relaxed, PBE.

ΔE_f	-0.135	eV/atom
ρ	10.8	g cm⁻³
energy relative to the lowest polymorph listed for this composition	0.0000	eV/atom
magnetic moment	0.00	μB/f.u.
calculated volume	15.84	A^3/atom

Cell: 10.0214 3.1595 6.3296 Å, 90.00 108.43 90.00°
Last column: nearest neighbours and their distance in Å.
Space group C2/m (No. 12)
Inequivalent atoms, fractional coordinates:
Ti1 0.0000 0.0000 0.0000 (multiplicity 2)  8 Mo 2.75-2.76
Mo1 0.1686 0.5000 0.3357 (multiplicity 4)  4 Mo 2.71-2.72, 2 W 2.75, 2 Ti 2.76
Mo2 0.1688 0.5000 0.8338 (multiplicity 4)  4 Mo 2.72, 2 W 2.75, 2 Ti 2.75
W1 0.0000 0.0000 0.5000 (multiplicity 2)  8 Mo 2.75

=====

Record 4
TiMoW6: relaxed, PBE.

ΔE_f	-0.084	eV/atom
ρ	16.2	g cm⁻³
energy relative to the lowest polymorph listed for this composition	0.0000	eV/atom
magnetic moment	0.00	μB/f.u.
calculated volume	15.99	A^3/atom

Cell: 6.3484 8.9611 4.4979 Å, 90.00 90.00 90.00°
Last column: nearest neighbours and their distance in Å.
Space group Cmmm (No. 65)
Inequivalent atoms, fractional coordinates:
Ti1 0.0000 0.0000 0.0000 (multiplicity 2)  8 W 2.75-2.76
Mo1 0.0000 0.5000 0.0000 (multiplicity 2)  8 W 2.75
W1 0.0000 0.2480 0.5000 (multiplicity 4)  8 W 2.73-2.76
W2 0.2492 0.5000 0.5000 (multiplicity 4)  4 W 2.73-2.76, 2 Mo 2.75, 2 Ti 2.76
W3 0.2500 0.2500 0.0000 (multiplicity 4)  2 Ti 2.75, 2 Mo 2.75, 4 W 2.75

=====

Record 5
TiMo2W: relaxed, PBE.

ΔE_f	0.731	eV/atom
ρ	10.2	g cm⁻³
energy relative to the lowest polymorph listed for this composition	0.8748	eV/atom
magnetic moment	0.00	μB/f.u.
calculated volume	17.18	A^3/atom

Cell: 2.9586 4.4635 10.4055 Å, 90.00 90.00 90.00°
Last column: nearest neighbours and their distance in Å.
Space group Immm (No. 71)
Inequivalent atoms, fractional coordinates:
Ti1 0.0000 0.0000 0.0000 (multiplicity 2)  2 Mo 2.63, 4 W 2.68
Mo1 0.0000 0.0000 0.2527 (multiplicity 4)  1 W 2.57, 1 Ti 2.63, 4 Mo 2.68
W1 0.0000 0.0000 0.5000 (multiplicity 2)  2 Mo 2.57, 4 Ti 2.68

=====

Record 6
Ti4Mo5W2: relaxed, PBE.

ΔE_f	-0.007	eV/atom
ρ	9.7	g cm⁻³
magnetic moment	0.00	μB/f.u.
calculated volume	16.10	A^3/atom

Cell: 2.7367 6.9471 9.4483 Å, 91.71 92.95 98.92°
Last column: nearest neighbours and their distance in Å.
Space group P-1 (No. 2)
Inequivalent atoms, fractional coordinates:
Ti1 0.0986 0.1462 0.4059 (multiplicity 2)  3 Mo 2.64-2.78, 3 Ti 2.74-2.75, 1 W 2.84
Ti2 0.1108 0.3169 0.9533 (multiplicity 2)  4 Mo 2.64-2.76, 3 Ti 2.74-2.83, 1 W 2.77
Mo1 0.3094 0.9548 0.8663 (multiplicity 2)  1 W 2.68, 4 Mo 2.70-2.74, 3 Ti 2.74-2.78
Mo2 0.4558 0.5894 0.7791 (multiplicity 2)  3 Ti 2.64-2.76, 4 Mo 2.70-2.74, 1 W 2.84
Mo3 0.5000 0.5000 0.5000 (multiplicity 1)  2 Ti 2.64, 4 Mo 2.70-2.74, 2 W 2.72
W1 0.3254 0.7783 0.3158 (multiplicity 2)  3 Mo 2.68-2.84, 2 W 2.74, 4 Ti 2.77-2.99

=====

Record 7
TiMoW: relaxed, PBE.

ΔE_f	0.440	eV/atom
ρ	10.4	g cm⁻³
energy relative to the lowest polymorph listed for this composition	0.5561	eV/atom
magnetic moment	0.00	μB/f.u.
calculated volume	17.49	A^3/atom

Cell: 6.8412 9.1933 7.1767 Å, 90.00 111.56 90.00°
Last column: nearest neighbours and their distance in Å.
Space group Cc (No. 9)
Inequivalent atoms, fractional coordinates:
Ti1 0.0000 0.1080 0.0000 (multiplicity 4)  3 Mo 2.61-2.64, 2 W 2.65-2.71, 2 Ti 2.87-2.88
Ti2 0.2760 0.1196 0.4133 (multiplicity 4)  2 Mo 2.62-2.64, 1 W 2.83, 2 Ti 2.87-2.88
Mo1 0.1024 0.1454 0.6821 (multiplicity 4)  2 W 2.57-2.71, 3 Ti 2.62-2.64, 1 Mo 2.63
Mo2 0.1903 0.3601 0.0653 (multiplicity 4)  2 Ti 2.61-2.64, 4 W 2.61-2.89, 1 Mo 2.63
W1 0.0275 0.3740 0.3501 (multiplicity 4)  3 Mo 2.67-2.89, 2 W 2.79-2.85, 3 Ti 2.83-2.97
W2 0.2954 0.3906 0.7505 (multiplicity 4)  3 Mo 2.57-2.63, 2 Ti 2.65-2.71, 2 W 2.79-2.85

=====

Record 8
Ti3Mo4W: relaxed, PBE.

ΔE_f	0.561	eV/atom
ρ	8.3	g cm⁻³
magnetic moment	0.00	μB/f.u.
calculated volume	17.82	A^3/atom

Cell: 3.1344 4.3844 10.5550 Å, 96.43 98.46 90.11°
Last column: nearest neighbours and their distance in Å.
Space group P-1 (No. 2)
Inequivalent atoms, fractional coordinates:
Ti1 0.0000 0.0000 0.0000 (multiplicity 1)  4 W 2.69-2.70, 2 Mo 2.85
Ti2 0.3035 0.5375 0.6061 (multiplicity 2)  6 Mo 2.59-2.75, 2 Ti 2.70-2.71
Mo1 0.0986 0.5021 0.1985 (multiplicity 2)  3 Ti 2.59-2.85, 2 W 2.60, 1 Mo 2.61
Mo2 0.1874 0.9710 0.3772 (multiplicity 2)  1 Mo 2.61, 4 Ti 2.65-2.75
W1 0.5000 0.5000 0.0000 (multiplicity 1)  4 Mo 2.60, 4 Ti 2.69-2.70